Below is a relaxed SrPrRh crystal, with properties calculated at the PBE level.

Lattice parameters (Å, degrees): 7.1620 7.1620 7.1620 90.00 90.00 90.00
With the nearest neighbours (Å) after each atom.
Atoms (fractional coordinates):
Sr  0.0000  0.0000  0.0000  4 Rh 3.10
Sr  0.0000  0.5000  0.5000  4 Rh 3.10
Sr  0.5000  0.0000  0.5000  4 Rh 3.10
Sr  0.5000  0.5000  0.0000  4 Rh 3.10
Pr  0.0000  0.0000  0.5000  4 Rh 3.10
Pr  0.0000  0.5000  0.0000  4 Rh 3.10
Pr  0.5000  0.0000  0.0000  4 Rh 3.10
Pr  0.5000  0.5000  0.5000  4 Rh 3.10
Rh  0.2500  0.2500  0.2500  4 Pr 3.10, 4 Sr 3.10
Rh  0.2500  0.7500  0.7500  4 Pr 3.10, 4 Sr 3.10
Rh  0.7500  0.2500  0.7500  4 Pr 3.10, 4 Sr 3.10
Rh  0.7500  0.7500  0.2500  4 Pr 3.10, 4 Sr 3.10

Results
ΔE_f ... -0.9 eV/f.u.
Crystal system ... cubic
Density of states at the Fermi level ... 1.46 states/eV/f.u.
Energy above the most stable polymorph in this dataset ... 0.055 eV per atom